VASP calculation (meta-GGA SCAN) on Mn2InTe at its PBEsol-relaxed geometry.

Cell lengths 3.711, 4.097, 4.741 Å; angles 90.00, 90.00, 90.00 degrees
Space group Pmmm (No. 47)
One atom of each set of equivalent atoms:
Mn: 0.000 0.000 0.000 x1
Mn: 0.000 0.500 0.500 x1
In: 0.500 0.000 0.500 x1
Te: 0.500 0.500 0.000 x1

Output
Polymorph energy (0 for the lowest one) in eV per atom: 0.161
Uncorrected formation energy in eV per atom: 0.09